Record 1
VASP calculation (meta-GGA SCAN) on a PBEsol-optimized structure of CsRb2GdCl6.

Cell lengths 11.627, 11.627, 11.627 Å; angles 90.00, 90.00, 90.00 degrees
Space group Fm-3m (No. 225)
Unique sites:
1 Cs 0.000 0.000 0.000 (multiplicity 4)
2 Rb 0.250 0.250 0.250 (multiplicity 8)
3 Gd 0.000 0.000 0.500 (multiplicity 4)
4 Cl 0.000 0.000 0.274 (multiplicity 24)

Computed properties:
- mass density (g cm⁻³) = 2.85
- total DFT energy (no corrections) (eV/atom) = -20.85
- M_tot (μB per formula unit) = 6.9

---

Record 2
VASP calculation (meta-GGA SCAN) on a PBEsol-optimized structure of Cs3GeCl.

Cell lengths 6.436, 6.436, 6.436 Å; angles 90.00, 90.00, 90.00 degrees
Space group Pm-3m (No. 221)
Unique sites:
1 Cs 0.000 0.000 0.500 (multiplicity 3)
2 Ge 0.500 0.500 0.500 (multiplicity 1)
3 Cl 0.000 0.000 0.000 (multiplicity 1)

Computed properties:
- mass density (g cm⁻³) = 3.16
- total DFT energy (no corrections) (eV/atom) = -28.76
- M_tot (μB per formula unit) = 2.0

---

Record 3
VASP calculation (meta-GGA SCAN) on a PBEsol-optimized structure of CsGe2Cl.

Cell lengths 7.518, 7.518, 7.518 Å; angles 90.00, 90.00, 90.00 degrees
Space group Fm-3m (No. 225)
Unique sites:
1 Cs 0.000 0.000 0.000 (multiplicity 4)
2 Ge 0.250 0.250 0.250 (multiplicity 8)
3 Cl 0.000 0.000 0.500 (multiplicity 4)

Computed properties:
- mass density (g cm⁻³) = 4.90
- total DFT energy (no corrections) (eV/atom) = -20.37
- M_tot (μB per formula unit) = 0.0

---

Record 4
VASP calculation (meta-GGA SCAN) on a PBEsol-optimized structure of Cs2HCl.

Cell lengths 8.199, 8.199, 9.242 Å; angles 90.00, 90.00, 90.00 degrees
Space group I-42d (No. 122)
Unique sites:
1 Cs 0.211 0.750 0.125 (multiplicity 8)
2 H 0.000 0.000 0.000 (multiplicity 4)
3 Cl 0.000 0.000 0.500 (multiplicity 4)

Computed properties:
- mass density (g cm⁻³) = 3.23
- total DFT energy (no corrections) (eV/atom) = -22.91
- M_tot (μB per formula unit) = 0.0

---

Record 5
VASP calculation (meta-GGA SCAN) on a PBEsol-optimized structure of CsHIrCl2.

Cell lengths 5.992, 5.992, 3.826 Å; angles 90.00, 90.00, 90.00 degrees
Space group P4/mmm (No. 123)
Unique sites:
1 Cs 0.000 0.000 0.000 (multiplicity 1)
2 H 0.000 0.000 0.500 (multiplicity 1)
3 Ir 0.500 0.500 0.500 (multiplicity 1)
4 Cl 0.000 0.500 0.000 (multiplicity 2)

Computed properties:
- mass density (g cm⁻³) = 4.80
- total DFT energy (no corrections) (eV/atom) = -24.57
- M_tot (μB per formula unit) = 3.8

---

Record 6
VASP calculation (meta-GGA SCAN) on a PBEsol-optimized structure of Cs2MgHCl.

Cell lengths 5.891, 5.891, 4.581 Å; angles 90.00, 90.00, 90.00 degrees
Space group P4/mmm (No. 123)
Unique sites:
1 Cs 0.000 0.500 0.000 (multiplicity 2)
2 Mg 0.000 0.000 0.500 (multiplicity 1)
3 H 0.000 0.000 0.000 (multiplicity 1)
4 Cl 0.500 0.500 0.500 (multiplicity 1)

Computed properties:
- mass density (g cm⁻³) = 3.41
- total DFT energy (no corrections) (eV/atom) = -19.03
- M_tot (μB per formula unit) = 0.0

---

Question: Number 5 is which compound?
Answer: CsHIrCl2

---

Question: The lowest mass density belongs to which entry?
Answer: CsRb2GdCl6

---

Question: Which value of M_tot does entry 5 give?
Answer: 3.8 μB per formula unit